Entry from Alexandria via LeMat-Bulk: a relaxed structure of PrLuP (PBE-GGA).

Cell lengths 3.9347, 3.9347, 6.5284 Å; angles 90.00, 90.00, 120.00 degrees
With the nearest neighbours (Å) after each atom.
Space group P3m1 (No. 156)
Unique sites:
1 Pr 0.0000 0.0000 0.0000 [1 per cell]  3 P 2.87
2 Lu 0.3333 0.6667 0.4950 [1 per cell]  3 P 2.71
3 P 0.6667 0.3333 0.2694 [1 per cell]  3 Lu 2.71, 3 Pr 2.87

Properties
M_tot (Bohr magnetons per cell): 0.297
Formation enthalpy at 0 K (meV per atom): -893